# 1
First-principles (GGA-PBE) data for an optimized crystal structure of CrGaSiTc, as listed in the Alexandria database.

Space group: F-43m (216)
Mass density in g/cm3: 7.55
Formation energy without anion corrections in eV/f.u.: -0.5
Raw total energy in eV per cell: -115.95

```
CrGaSiTc
1.0
6.020 0.000 0.000
0.000 6.020 0.000
0.000 0.000 6.020
Cr Ga Si Tc
4 4 4 4
Cartesian
0.000 0.000 0.000
0.000 3.010 3.010
3.010 0.000 3.010
3.010 3.010 0.000
1.505 1.505 1.505
1.505 4.515 4.515
4.515 1.505 4.515
4.515 4.515 1.505
1.505 1.505 4.515
1.505 4.515 1.505
4.515 1.505 1.505
4.515 4.515 4.515
0.000 0.000 3.010
0.000 3.010 0.000
3.010 0.000 0.000
3.010 3.010 3.010
```



# 2
First-principles (GGA-PBE) data for an optimized crystal structure of CrGaSi2Te, as listed in the Alexandria database.

Space group: P4/mmm (123)
Mass density in g/cm3: 4.78
Formation energy without anion corrections in eV/f.u.: 2.2
Raw total energy in eV per cell: -24.42

```
CrGaSi2Te
1.0
4.646 0.000 0.000
0.000 4.646 0.000
0.000 0.000 4.913
Cr Ga Si Te
1 1 2 1
Cartesian
0.000 0.000 0.000
0.000 0.000 2.457
0.000 2.323 0.000
2.323 0.000 0.000
2.323 2.323 2.457
```



# 3
First-principles (GGA-PBE) data for an optimized crystal structure of TiCr2GaSi, as listed in the Alexandria database.

Space group: P4/mmm (123)
Mass density in g/cm3: 4.30
Formation energy without anion corrections in eV/f.u.: 4.9
Raw total energy in eV per cell: -30.69

```
TiCr2GaSi
1.0
4.521 0.000 0.000
0.000 4.521 0.000
0.000 0.000 4.720
Ti Cr Ga Si
1 2 1 1
Cartesian
0.000 0.000 0.000
0.000 2.261 2.360
2.261 0.000 2.360
0.000 0.000 2.360
2.261 2.261 0.000
```